(1)
The following is a meta-GGA SCAN calculation of a crystal of Mg2IrSe relaxed with PBEsol, from the Alexandria database.

Results
uncorrected formation energy: -436 meV/atom
space group: No. 65

abc: 4.433 4.433 3.353
angles: 90.00 90.00 90.08
Element x y z (fractional)
Mg 0.000 0.500 0.000
Mg 0.500 0.000 0.000
Ir 0.000 0.000 0.500
Se 0.500 0.500 0.500

(2)
The following is a meta-GGA SCAN calculation of a crystal of MgIrSe relaxed with PBEsol, from the Alexandria database.

Results
uncorrected formation energy: -191 meV/atom
excess energy over the best structure of this formula in the dataset: 0.000 eV/atom
space group: No. 216

abc: 4.256 4.256 4.256
angles: 60.00 60.00 60.00
Element x y z (fractional)
Mg 0.000 0.000 0.000
Ir 0.750 0.750 0.750
Se 0.500 0.500 0.500

(3)
The following is a meta-GGA SCAN calculation of a crystal of Mg2IrSe relaxed with PBEsol, from the Alexandria database.

Results
uncorrected formation energy: -435 meV/atom
space group: No. 65

abc: 4.556 4.556 3.243
angles: 90.00 90.00 101.67
Element x y z (fractional)
Mg 0.000 0.500 0.000
Mg 0.500 0.000 0.000
Ir 0.000 0.000 0.500
Se 0.500 0.500 0.500

(4)
The following is a meta-GGA SCAN calculation of a crystal of Mg2IrSe relaxed with PBEsol, from the Alexandria database.

Results
uncorrected formation energy: -445 meV/atom
space group: No. 25

abc: 3.300 4.420 4.525
angles: 90.00 90.00 90.00
Element x y z (fractional)
Mg 0.000 0.000 0.000
Mg 0.000 0.500 0.418
Ir 0.500 0.000 0.511
Se 0.500 0.500 0.890

(5)
The following is a meta-GGA SCAN calculation of a crystal of Mg2Si2Ir relaxed with PBEsol, from the Alexandria database.

Results
uncorrected formation energy: -529 meV/atom
space group: No. 127

abc: 6.204 6.204 4.159
angles: 90.00 90.00 90.00
Element x y z (fractional)
Mg 0.178 0.322 0.000
Mg 0.322 0.822 0.000
Mg 0.678 0.178 0.000
Mg 0.822 0.678 0.000
Si 0.134 0.634 0.500
Si 0.366 0.134 0.500
Si 0.634 0.866 0.500
Si 0.866 0.366 0.500
Ir 0.000 0.000 0.500
Ir 0.500 0.500 0.500

(6)
The following is a meta-GGA SCAN calculation of a crystal of Mg2SiIr relaxed with PBEsol, from the Alexandria database.

Results
uncorrected formation energy: -155 meV/atom
space group: No. 123

abc: 2.883 2.883 7.755
angles: 90.00 90.00 90.00
Element x y z (fractional)
Mg 0.000 0.000 0.227
Mg 0.000 0.000 0.773
Si 0.500 0.500 0.500
Ir 0.500 0.500 0.000

(7)
The following is a meta-GGA SCAN calculation of a crystal of Mg3Si8Ir3 relaxed with PBEsol, from the Alexandria database.

Results
uncorrected formation energy: -526 meV/atom
space group: No. 216

abc: 8.612 8.612 8.612
angles: 60.00 60.00 60.00
Element x y z (fractional)
Mg 0.000 0.000 0.000
Mg 0.200 0.600 0.600
Mg 0.250 0.250 0.250
Mg 0.600 0.200 0.600
Mg 0.600 0.600 0.200
Mg 0.600 0.600 0.600
Si 0.221 0.221 0.639
Si 0.221 0.221 0.919
Si 0.221 0.639 0.221
Si 0.221 0.639 0.919
Si 0.221 0.919 0.221
Si 0.221 0.919 0.639
Si 0.527 0.824 0.824
Si 0.639 0.221 0.221
Si 0.639 0.221 0.919
Si 0.639 0.919 0.221
Si 0.824 0.527 0.824
Si 0.824 0.824 0.527
Si 0.824 0.824 0.824
Si 0.919 0.221 0.221
Si 0.919 0.221 0.639
Si 0.919 0.639 0.221
Ir 0.505 0.505 0.995
Ir 0.505 0.995 0.505
Ir 0.505 0.995 0.995
Ir 0.995 0.505 0.505
Ir 0.995 0.505 0.995
Ir 0.995 0.995 0.505

(8)
The following is a meta-GGA SCAN calculation of a crystal of Mg15Si2Ir5 relaxed with PBEsol, from the Alexandria database.

Results
uncorrected formation energy: -507 meV/atom
space group: No. 86

abc: 13.659 13.659 8.730
angles: 90.00 90.00 90.00
Element x y z (fractional)
Mg 0.000 0.000 0.000
Mg 0.000 0.500 0.500
Mg 0.005 0.983 0.342
Mg 0.017 0.505 0.842
Mg 0.047 0.803 0.861
Mg 0.090 0.306 0.645
Mg 0.118 0.677 0.116
Mg 0.119 0.311 0.976
Mg 0.120 0.678 0.612
Mg 0.121 0.337 0.316
Mg 0.163 0.121 0.184
Mg 0.177 0.882 0.616
Mg 0.178 0.880 0.112
Mg 0.189 0.119 0.524
Mg 0.194 0.090 0.855
Mg 0.197 0.547 0.361
Mg 0.303 0.953 0.361
Mg 0.306 0.410 0.855
Mg 0.311 0.381 0.524
Mg 0.322 0.620 0.112
Mg 0.323 0.618 0.616
Mg 0.337 0.379 0.184
Mg 0.379 0.163 0.316
Mg 0.380 0.822 0.612
Mg 0.381 0.189 0.976
Mg 0.382 0.823 0.116
Mg 0.410 0.194 0.645
Mg 0.453 0.697 0.861
Mg 0.483 0.995 0.842
Mg 0.495 0.517 0.342
Mg 0.500 0.000 0.500
Mg 0.500 0.500 0.000
Mg 0.505 0.483 0.658
Mg 0.517 0.005 0.158
Mg 0.547 0.303 0.139
Mg 0.590 0.806 0.355
Mg 0.618 0.177 0.884
Mg 0.619 0.811 0.024
Mg 0.620 0.178 0.388
Mg 0.621 0.837 0.684
Mg 0.663 0.621 0.816
Mg 0.677 0.382 0.384
Mg 0.678 0.380 0.888
Mg 0.689 0.619 0.476
Mg 0.694 0.590 0.145
Mg 0.697 0.047 0.639
Mg 0.803 0.453 0.639
Mg 0.806 0.910 0.145
Mg 0.811 0.881 0.476
Mg 0.822 0.120 0.888
Mg 0.823 0.118 0.384
Mg 0.837 0.879 0.816
Mg 0.879 0.663 0.684
Mg 0.880 0.322 0.388
Mg 0.881 0.689 0.024
Mg 0.882 0.323 0.884
Mg 0.910 0.694 0.355
Mg 0.953 0.197 0.139
Mg 0.983 0.495 0.158
Mg 0.995 0.017 0.658
Si 0.084 0.798 0.365
Si 0.202 0.584 0.865
Si 0.298 0.916 0.865
Si 0.416 0.702 0.365
Si 0.584 0.298 0.635
Si 0.702 0.084 0.135
Si 0.798 0.416 0.135
Si 0.916 0.202 0.635
Ir 0.015 0.170 0.849
Ir 0.018 0.174 0.424
Ir 0.170 0.485 0.651
Ir 0.174 0.482 0.076
Ir 0.250 0.750 0.364
Ir 0.250 0.750 0.864
Ir 0.326 0.018 0.076
Ir 0.330 0.015 0.651
Ir 0.482 0.326 0.424
Ir 0.485 0.330 0.849
Ir 0.515 0.670 0.151
Ir 0.518 0.674 0.576
Ir 0.670 0.985 0.349
Ir 0.674 0.982 0.924
Ir 0.750 0.250 0.136
Ir 0.750 0.250 0.636
Ir 0.826 0.518 0.924
Ir 0.830 0.515 0.349
Ir 0.982 0.826 0.576
Ir 0.985 0.830 0.151

(9)
The following is a meta-GGA SCAN calculation of a crystal of Sm4MgIr relaxed with PBEsol, from the Alexandria database.

Results
energy of formation from the pure elements: -276.1 kJ/mol of formula units
space group: No. 216

abc: 9.749 9.749 9.749
angles: 60.00 60.00 60.00
Element x y z (fractional)
Sm 0.040 0.653 0.653
Sm 0.062 0.062 0.438
Sm 0.062 0.438 0.062
Sm 0.062 0.438 0.438
Sm 0.188 0.188 0.812
Sm 0.188 0.812 0.188
Sm 0.188 0.812 0.812
Sm 0.438 0.062 0.062
Sm 0.438 0.062 0.438
Sm 0.438 0.438 0.062
Sm 0.653 0.040 0.653
Sm 0.653 0.653 0.040
Sm 0.653 0.653 0.653
Sm 0.812 0.188 0.188
Sm 0.812 0.188 0.812
Sm 0.812 0.812 0.188
Mg 0.420 0.420 0.420
Mg 0.420 0.420 0.739
Mg 0.420 0.739 0.420
Mg 0.739 0.420 0.420
Ir 0.425 0.858 0.858
Ir 0.858 0.425 0.858
Ir 0.858 0.858 0.425
Ir 0.858 0.858 0.858

(10)
The following is a meta-GGA SCAN calculation of a crystal of MgSn2IrW relaxed with PBEsol, from the Alexandria database.

Results
energy of formation from the pure elements: 459.3 kJ/mol of formula units
space group: No. 123

abc: 5.035 5.035 4.933
angles: 90.00 90.00 90.00
Element x y z (fractional)
Mg 0.000 0.000 0.000
Sn 0.000 0.500 0.500
Sn 0.500 0.000 0.500
Ir 0.500 0.500 0.500
W 0.500 0.500 0.000

(11)
The following is a meta-GGA SCAN calculation of a crystal of SrMg3Ir relaxed with PBEsol, from the Alexandria database.

Results
excess energy over the best structure of this formula in the dataset: 0.000 eV/atom
energy of formation from the pure elements: -145.4 kJ/mol of formula units
space group: No. 221

abc: 5.044 5.044 5.044
angles: 90.00 90.00 90.00
Element x y z (fractional)
Sr 0.000 0.000 0.000
Mg 0.000 0.500 0.500
Mg 0.500 0.000 0.500
Mg 0.500 0.500 0.000
Ir 0.500 0.500 0.500

(12)
The following is a meta-GGA SCAN calculation of a crystal of Sr2MgIr relaxed with PBEsol, from the Alexandria database.

Results
energy of formation from the pure elements: 58.5 kJ/mol of formula units
space group: No. 12

abc: 4.256 4.256 9.079
angles: 102.75 102.75 58.80
Element x y z (fractional)
Sr 0.226 0.226 0.178
Sr 0.774 0.774 0.822
Mg 0.000 0.000 0.500
Ir 0.500 0.500 0.000

(13)
The following is a meta-GGA SCAN calculation of a crystal of SrMg3Ir relaxed with PBEsol, from the Alexandria database.

Results
excess energy over the best structure of this formula in the dataset: 2.476 eV/atom
energy of formation from the pure elements: 1048.9 kJ/mol of formula units
space group: No. 221

abc: 5.648 5.648 5.648
angles: 90.00 90.00 90.00
Element x y z (fractional)
Sr 0.000 0.000 0.000
Mg 0.000 0.000 0.500
Mg 0.000 0.500 0.000
Mg 0.500 0.000 0.000
Ir 0.500 0.500 0.500

(14)
The following is a meta-GGA SCAN calculation of a crystal of Sr2MgIr relaxed with PBEsol, from the Alexandria database.

Results
energy of formation from the pure elements: -9.7 kJ/mol of formula units
space group: No. 47

abc: 3.511 3.694 8.749
angles: 90.00 90.00 90.00
Element x y z (fractional)
Sr 0.000 0.000 0.194
Sr 0.000 0.000 0.806
Mg 0.500 0.500 0.500
Ir 0.500 0.500 0.000

(15)
The following is a meta-GGA SCAN calculation of a crystal of Mg2TaIr relaxed with PBEsol, from the Alexandria database.

Results
excess energy over the best structure of this formula in the dataset: 0.435 eV/atom
energy of formation from the pure elements: 88.4 kJ/mol of formula units
space group: No. 225

abc: 4.511 4.511 4.511
angles: 60.00 60.00 60.00
Element x y z (fractional)
Mg 0.250 0.250 0.250
Mg 0.750 0.750 0.750
Ta 0.000 0.000 0.000
Ir 0.500 0.500 0.500

(16)
The following is a meta-GGA SCAN calculation of a crystal of Mg2TaIr2 relaxed with PBEsol, from the Alexandria database.

Results
energy of formation from the pure elements: 205.2 kJ/mol of formula units
space group: No. 139

abc: 5.360 5.360 5.360
angles: 132.26 132.26 69.82
Element x y z (fractional)
Mg 0.130 0.130 0.000
Mg 0.870 0.870 0.000
Ta 0.500 0.500 0.000
Ir 0.250 0.750 0.500
Ir 0.750 0.250 0.500

(17)
The following is a meta-GGA SCAN calculation of a crystal of Mg2TaIr relaxed with PBEsol, from the Alexandria database.

Results
excess energy over the best structure of this formula in the dataset: 0.178 eV/atom
energy of formation from the pure elements: -10.7 kJ/mol of formula units
space group: No. 65

abc: 5.245 5.245 2.804
angles: 90.00 90.00 119.51
Element x y z (fractional)
Mg 0.000 0.500 0.000
Mg 0.500 0.000 0.000
Ta 0.000 0.000 0.500
Ir 0.500 0.500 0.500

(18)
The following is a meta-GGA SCAN calculation of a crystal of Mg2TaIr relaxed with PBEsol, from the Alexandria database.

Results
excess energy over the best structure of this formula in the dataset: 0.626 eV/atom
energy of formation from the pure elements: 162.1 kJ/mol of formula units
space group: No. 122

abc: 5.934 5.934 5.934
angles: 101.03 101.03 128.12
Element x y z (fractional)
Mg 0.084 0.125 0.459
Mg 0.375 0.916 0.041
Mg 0.666 0.625 0.541
Mg 0.875 0.334 0.959
Ta 0.250 0.750 0.500
Ta 0.500 0.500 0.000
Ir 0.000 0.000 0.000
Ir 0.750 0.250 0.500

(19)
The following is a meta-GGA SCAN calculation of a crystal of Mg4TaIr relaxed with PBEsol, from the Alexandria database.

Results
energy of formation from the pure elements: 271.2 kJ/mol of formula units
space group: No. 216

abc: 5.279 5.279 5.279
angles: 60.00 60.00 60.00
Element x y z (fractional)
Mg 0.125 0.125 0.125
Mg 0.125 0.125 0.626
Mg 0.125 0.626 0.125
Mg 0.626 0.125 0.125
Ta 0.750 0.750 0.750
Ir 0.500 0.500 0.500

(20)
The following is a meta-GGA SCAN calculation of a crystal of Mg2TaIr relaxed with PBEsol, from the Alexandria database.

Results
excess energy over the best structure of this formula in the dataset: 0.000 eV/atom
energy of formation from the pure elements: -79.3 kJ/mol of formula units
space group: No. 47

abc: 3.540 4.124 4.558
angles: 90.00 90.00 90.00
Element x y z (fractional)
Mg 0.000 0.000 0.000
Mg 0.500 0.500 0.000
Ta 0.000 0.500 0.500
Ir 0.500 0.000 0.500

DOS(E_F) (states/eV per atom)
0.240 0.684 0.327 0.387 0.140 0.485 0.410 0.320 0.806 0.670 0.351 0.538 0.669 0.671 0.806 0.549 0.585 0.888 0.414 0.468
Magnetic moment (μB per formula unit)
0.0 0.0 0.0 0.0 0.0 0.0 0.0 0.0 0.0 2.1 0.0 0.0 1.7 0.0 0.6 0.7 0.0 0.0 2.0 0.0